<A>
Density functional theory data (SCAN) for a crystal of Zr5Hg relaxed with PBEsol.

a b c (Å): 3.133 5.936 7.545
angles (deg): 105.20 90.00 105.30
Positions (direct):
1 Hg 0.990 0.980 0.997
2 Zr 0.396 0.792 0.276
3 Zr 0.676 0.353 0.329
4 Zr 0.061 0.122 0.608
5 Zr 0.337 0.674 0.676
6 Zr 0.706 0.412 0.948

As for the magnetization: 0.00 μB per formula unit. The space-group type is Cm, No. 8.

<B>
Density functional theory data (SCAN) for a crystal of Zr5Hg relaxed with PBEsol.

a b c (Å): 3.142 3.142 13.180
angles (deg): 90.00 90.00 90.00
Positions (direct):
1 Hg 0.500 0.500 0.500
2 Zr 0.000 0.000 0.662
3 Zr 0.500 0.500 0.832
4 Zr 0.000 0.000 0.000
5 Zr 0.500 0.500 0.168
6 Zr 0.000 0.000 0.338

As for the magnetization: 0.00 μB per formula unit. The space-group type is P4/mmm, No. 123.

Most stable structure among those shown: <B>. Next: +7 meV per atom.